# TmZrTlPb (GGA-PBE, relaxed)
# ρ (Mg/m³): 11.02
# Energy of formation (eV per atom): -0.08
# Calculated total energy (eV per atom): -4.8567
data_TmZrTlPb
_chemical_formula_sum 'Tm4 Zr4 Tl4 Pb4'
_cell_length_a 7.398
_cell_length_b 7.398
_cell_length_c 7.398
_cell_angle_alpha 90.00
_cell_angle_beta 90.00
_cell_angle_gamma 90.00
_symmetry_space_group_name_H-M 'F -4 3 m'
_symmetry_Int_Tables_number 216
_symmetry_space_group_name_Hall 'F -4 2 3'
loop_
_atom_site_label
_atom_site_fract_x
_atom_site_fract_y
_atom_site_fract_z
Tm1 0.000 0.000 0.000
Zr1 0.000 0.000 0.500
Tl1 0.250 0.250 0.750
Pb1 0.250 0.250 0.250

---

# GdH18I3O9 (GGA-PBE, relaxed)
# ρ (Mg/m³): 2.77
# Calculated total energy (eV per atom): -5.1163
data_GdH18I3O9
_chemical_formula_sum 'Gd2 H36 I6 O18'
_cell_length_a 8.005
_cell_length_b 11.403
_cell_length_c 9.204
_cell_angle_alpha 90.00
_cell_angle_beta 90.00
_cell_angle_gamma 90.00
_symmetry_space_group_name_H-M 'P m m n'
_symmetry_Int_Tables_number 59
loop_
_symmetry_equiv_pos_as_xyz
'x,y,z'
'-x,-y,-z'
'-x+1/2,-y+1/2,z'
'x+1/2,y+1/2,-z'
'x+1/2,-y,-z'
'-x+1/2,y,z'
'-x,y+1/2,-z'
'x,-y+1/2,z'
loop_
_atom_site_label
_atom_site_fract_x
_atom_site_fract_y
_atom_site_fract_z
Gd1 0.250 0.250 0.169
H1 0.035 0.646 0.008
H2 0.035 0.681 0.625
H3 0.038 0.577 0.860
H4 0.250 0.048 0.406
H5 0.250 0.181 0.832
H6 0.250 0.520 0.258
I1 0.250 0.507 0.671
I2 0.250 0.750 0.180
O1 0.037 0.118 0.072
O2 0.039 0.250 0.365
O3 0.250 0.059 0.300
O4 0.250 0.250 0.896

---

# SnAu2Br (GGA-PBE, relaxed)
# ρ (Mg/m³): 10.78
# Uncorrected formation energy (meV/atom): 257
# Calculated total energy (eV per atom): -2.8006
data_SnAu2Br
_chemical_formula_sum 'Sn4 Au8 Br4'
_cell_length_a 7.147
_cell_length_b 7.147
_cell_length_c 7.147
_cell_angle_alpha 90.00
_cell_angle_beta 90.00
_cell_angle_gamma 90.00
_symmetry_space_group_name_H-M 'F m -3 m'
_symmetry_Int_Tables_number 225
_symmetry_space_group_name_Hall '-F 4 2 3'
loop_
_atom_site_label
_atom_site_fract_x
_atom_site_fract_y
_atom_site_fract_z
Sn1 0.000 0.000 0.000
Au1 0.250 0.250 0.250
Br1 0.000 0.000 0.500

---

# Rb3NpF8 (GGA-PBE, relaxed)
# ρ (Mg/m³): 4.49
# Uncorrected formation energy (meV/atom): -3106
# Calculated total energy (eV per atom): -5.6742
data_Rb3NpF8
_chemical_formula_sum 'Rb6 Np2 F16'
_cell_length_a 6.239
_cell_length_b 6.239
_cell_length_c 12.270
_cell_angle_alpha 90.00
_cell_angle_beta 90.00
_cell_angle_gamma 90.00
_symmetry_space_group_name_H-M 'I 4/m m m'
_symmetry_Int_Tables_number 139
_symmetry_space_group_name_Hall '-I 4 2'
loop_
_atom_site_label
_atom_site_fract_x
_atom_site_fract_y
_atom_site_fract_z
Rb1 0.000 0.000 0.000
Rb2 0.000 0.500 0.250
Np1 0.000 0.000 0.500
F1 0.204 0.204 0.396

---

# TiCl (GGA-PBE, relaxed)
# ρ (Mg/m³): 2.94
# Uncorrected formation energy (meV/atom): -358
# Calculated total energy (eV per atom): -5.2285
data_TiCl
_chemical_formula_sum 'Ti4 Cl4'
_cell_length_a 7.553
_cell_length_b 7.553
_cell_length_c 3.297
_cell_angle_alpha 90.00
_cell_angle_beta 90.00
_cell_angle_gamma 90.00
_symmetry_space_group_name_H-M 'P 42/m n m'
_symmetry_Int_Tables_number 136
_symmetry_space_group_name_Hall '-P 4n 2n'
loop_
_atom_site_label
_atom_site_fract_x
_atom_site_fract_y
_atom_site_fract_z
Ti1 0.091 0.091 0.000
Cl1 0.227 0.773 0.000

---

# K2YSnS4 (GGA-PBE, relaxed)
# ρ (Mg/m³): 3.06
# Uncorrected formation energy (meV/atom): -1143
# Calculated total energy (eV per atom): -4.7898
data_K2YSnS4
_chemical_formula_sum 'K4 Y2 Sn2 S8'
_cell_length_a 7.925
_cell_length_b 7.925
_cell_length_c 7.154
_cell_angle_alpha 90.00
_cell_angle_beta 90.00
_cell_angle_gamma 90.00
_symmetry_space_group_name_H-M 'I -4 2 m'
_symmetry_Int_Tables_number 121
_symmetry_space_group_name_Hall 'I -4 2'
loop_
_atom_site_label
_atom_site_fract_x
_atom_site_fract_y
_atom_site_fract_z
K1 0.000 0.500 0.000
Y1 0.000 0.000 0.000
Sn1 0.000 0.000 0.500
S1 0.171 0.171 0.253

---

# PmPrS (GGA-PBE, relaxed)
# ρ (Mg/m³): 6.08
# Uncorrected formation energy (meV/atom): -1168
# Calculated total energy (eV per atom): -5.7205
data_PmPrS
_chemical_formula_sum 'Pm8 Pr8 S8'
_cell_length_a 8.510
_cell_length_b 10.848
_cell_length_c 7.521
_cell_angle_alpha 90.00
_cell_angle_beta 90.00
_cell_angle_gamma 90.00
_symmetry_space_group_name_H-M 'C m c e'
_symmetry_Int_Tables_number 64
_symmetry_space_group_name_Hall '-C 2ac 2'
loop_
_atom_site_label
_atom_site_fract_x
_atom_site_fract_y
_atom_site_fract_z
Pm1 0.000 0.206 0.167
Pr1 0.207 0.000 0.500
S1 0.000 0.058 0.798

---

# Tb5Tl4 (GGA-PBE, relaxed)
# ρ (Mg/m³): 10.47
# Energy of formation (eV per atom): -0.35
# Calculated total energy (eV per atom): -3.9703
data_Tb5Tl4
_chemical_formula_sum 'Tb10 Tl8'
_cell_length_a 9.3783
_cell_length_b 9.3783
_cell_length_c 6.7164
_cell_angle_alpha 90.00
_cell_angle_beta 90.00
_cell_angle_gamma 120.00
_symmetry_space_group_name_H-M 'P 63/m c m'
_symmetry_Int_Tables_number 193
_symmetry_space_group_name_Hall '-P 6c 2'
loop_
_atom_site_label
_atom_site_fract_x
_atom_site_fract_y
_atom_site_fract_z
Tb1 0.0000 0.2891 0.2500
Tb2 0.3333 0.6667 0.0000
Tl1 0.0000 0.0000 0.0000
Tl2 0.0000 0.3737 0.7500

---

Which value of calculated total energy does entry 2 give?
-5.1163 eV per atom

---

What is the formula in the eighth record?
Tb5Tl4

---

Which formula does entry 1 have?
TmZrTlPb

---

Which value of ρ does entry 1 give?
11.02 Mg/m³